VASP calculation (PBE) on a geometry-optimized Cu4AgPd3 structure.

The value obtained for the uncorrected energy is -70.336 eV/cell. The calculated volume comes out at 227 Å³/cell. The excess energy over the best structure of this formula in the dataset comes out at 0.0438 eV/atom. The value obtained for the formation energy is -44 meV per atom.

The space group is Pmna (No. 53) and the conventional cell measures 7.796, 5.426 and 5.357 Å, with angles of 90.00, 90.00 and 90.00 degrees. The asymmetric unit holds Cu at (0.000, 0.000, 0.000), Cu at (0.000, 0.500, 0.000), Cu at (0.250, 0.242, 0.250), Ag at (0.000, 0.500, 0.500), Pd at (0.000, 0.000, 0.500) and Pd at (0.250, 0.251, 0.750).